This record from Alexandria via LeMat-Bulk describes a geometry-optimized NiBiSCl2 structure. The functional is GGA-PBE.

Values from the calculation:
Its raw formation energy is 0.3680 eV/atom.

Cell and atoms, written as CIF:
```
data_NiBiSCl2
_chemical_formula_sum 'Ni1 Bi1 S1 Cl2'
_cell_length_a 5.3562
_cell_length_b 5.3562
_cell_length_c 5.4251
_cell_angle_alpha 90.00
_cell_angle_beta 90.00
_cell_angle_gamma 90.00
_space_group_name_H-M_alt 'P 4/m m m'
_space_group_IT_number 123
_space_group_name_Hall '-P 4 2'
loop_
_atom_site_label
_atom_site_type_symbol
_atom_site_fract_x
_atom_site_fract_y
_atom_site_fract_z
Ni1 Ni 0.0000 0.0000 0.0000
Bi1 Bi 0.5000 0.5000 0.5000
S1 S 0.5000 0.5000 0.0000
Cl1 Cl 0.0000 0.5000 0.5000
```

This record from Alexandria via LeMat-Bulk describes a geometry-optimized NiBiS2Cl structure. The functional is GGA-PBE.

Values from the calculation:
For the energy above the most stable polymorph in this dataset, the calculation gives 794 meV/atom. Its raw formation energy is 0.7084 eV/atom.

Cell and atoms, written as CIF:
```
data_NiBiS2Cl
_chemical_formula_sum 'Ni1 Bi1 S2 Cl1'
_cell_length_a 5.2495
_cell_length_b 5.2495
_cell_length_c 5.2787
_cell_angle_alpha 90.00
_cell_angle_beta 90.00
_cell_angle_gamma 90.00
_space_group_name_H-M_alt 'P 4/m m m'
_space_group_IT_number 123
_space_group_name_Hall '-P 4 2'
loop_
_atom_site_label
_atom_site_type_symbol
_atom_site_fract_x
_atom_site_fract_y
_atom_site_fract_z
Ni1 Ni 0.0000 0.0000 0.0000
Bi1 Bi 0.5000 0.5000 0.5000
S1 S 0.0000 0.5000 0.5000
Cl1 Cl 0.5000 0.5000 0.0000
```

This record from Alexandria via LeMat-Bulk describes a geometry-optimized NiBiS2Cl structure. The functional is GGA-PBE.

Values from the calculation:
For the energy above the most stable polymorph in this dataset, the calculation gives 0 meV/atom. Its raw formation energy is -0.0852 eV/atom.

Cell and atoms, written as CIF:
```
data_NiBiS2Cl
_chemical_formula_sum 'Ni1 Bi1 S2 Cl1'
_cell_length_a 4.6267
_cell_length_b 4.6267
_cell_length_c 4.4583
_cell_angle_alpha 90.00
_cell_angle_beta 90.00
_cell_angle_gamma 90.00
_space_group_name_H-M_alt 'P 4/m m m'
_space_group_IT_number 123
_space_group_name_Hall '-P 4 2'
loop_
_atom_site_label
_atom_site_type_symbol
_atom_site_fract_x
_atom_site_fract_y
_atom_site_fract_z
Ni1 Ni 0.0000 0.0000 0.0000
Bi1 Bi 0.5000 0.5000 0.5000
S1 S 0.0000 0.5000 0.0000
Cl1 Cl 0.0000 0.0000 0.5000
```

This record from Alexandria via LeMat-Bulk describes a geometry-optimized NiBiSe2Cl structure. The functional is GGA-PBE.

Values from the calculation:
Its raw formation energy is 0.0620 eV/atom.

Cell and atoms, written as CIF:
```
data_NiBiSe2Cl
_chemical_formula_sum 'Ni1 Bi1 Se2 Cl1'
_cell_length_a 4.5565
_cell_length_b 4.5565
_cell_length_c 5.6586
_cell_angle_alpha 90.00
_cell_angle_beta 90.00
_cell_angle_gamma 90.00
_space_group_name_H-M_alt 'P 4/m m m'
_space_group_IT_number 123
_space_group_name_Hall '-P 4 2'
loop_
_atom_site_label
_atom_site_type_symbol
_atom_site_fract_x
_atom_site_fract_y
_atom_site_fract_z
Ni1 Ni 0.0000 0.0000 0.0000
Bi1 Bi 0.0000 0.0000 0.5000
Se1 Se 0.0000 0.5000 0.0000
Cl1 Cl 0.5000 0.5000 0.5000
```

This record from Alexandria via LeMat-Bulk describes a geometry-optimized SiNi2BiCl structure. The functional is GGA-PBE.

Values from the calculation:
For the energy above the most stable polymorph in this dataset, the calculation gives 0 meV/atom. Its raw formation energy is 0.4005 eV/atom.

Cell and atoms, written as CIF:
```
data_SiNi2BiCl
_chemical_formula_sum 'Si1 Ni2 Bi1 Cl1'
_cell_length_a 4.4228
_cell_length_b 4.4228
_cell_length_c 4.9630
_cell_angle_alpha 90.00
_cell_angle_beta 90.00
_cell_angle_gamma 90.00
_space_group_name_H-M_alt 'P 4/m m m'
_space_group_IT_number 123
_space_group_name_Hall '-P 4 2'
loop_
_atom_site_label
_atom_site_type_symbol
_atom_site_fract_x
_atom_site_fract_y
_atom_site_fract_z
Si1 Si 0.0000 0.0000 0.0000
Ni1 Ni 0.0000 0.5000 0.0000
Bi1 Bi 0.5000 0.5000 0.5000
Cl1 Cl 0.0000 0.0000 0.5000
```

This record from Alexandria via LeMat-Bulk describes a geometry-optimized SiNi2BiCl structure. The functional is GGA-PBE.

Values from the calculation:
For the energy above the most stable polymorph in this dataset, the calculation gives 382 meV/atom. Its raw formation energy is 0.7826 eV/atom.

Cell and atoms, written as CIF:
```
data_SiNi2BiCl
_chemical_formula_sum 'Si1 Ni2 Bi1 Cl1'
_cell_length_a 4.1687
_cell_length_b 4.1687
_cell_length_c 5.9998
_cell_angle_alpha 90.00
_cell_angle_beta 90.00
_cell_angle_gamma 90.00
_space_group_name_H-M_alt 'P 4/m m m'
_space_group_IT_number 123
_space_group_name_Hall '-P 4 2'
loop_
_atom_site_label
_atom_site_type_symbol
_atom_site_fract_x
_atom_site_fract_y
_atom_site_fract_z
Si1 Si 0.0000 0.0000 0.0000
Ni1 Ni 0.0000 0.5000 0.5000
Bi1 Bi 0.5000 0.5000 0.0000
Cl1 Cl 0.5000 0.5000 0.5000
```

This record from Alexandria via LeMat-Bulk describes a geometry-optimized NiBi2WCl structure. The functional is GGA-PBE.

Values from the calculation:
Its raw formation energy is 0.9346 eV/atom.

Cell and atoms, written as CIF:
```
data_NiBi2WCl
_chemical_formula_sum 'Ni1 Bi2 W1 Cl1'
_cell_length_a 5.4888
_cell_length_b 5.4888
_cell_length_c 4.4793
_cell_angle_alpha 90.00
_cell_angle_beta 90.00
_cell_angle_gamma 90.00
_space_group_name_H-M_alt 'P 4/m m m'
_space_group_IT_number 123
_space_group_name_Hall '-P 4 2'
loop_
_atom_site_label
_atom_site_type_symbol
_atom_site_fract_x
_atom_site_fract_y
_atom_site_fract_z
Ni1 Ni 0.0000 0.0000 0.0000
Bi1 Bi 0.0000 0.5000 0.5000
W1 W 0.5000 0.5000 0.5000
Cl1 Cl 0.5000 0.5000 0.0000
```

This record from Alexandria via LeMat-Bulk describes a geometry-optimized NpBi3Cl2O6 structure. The functional is GGA-PBE.

Values from the calculation:
Its raw formation energy is -1.4887 eV/atom.

Cell and atoms, written as CIF:
```
data_NpBi3Cl2O6
_chemical_formula_sum 'Np2 Bi6 Cl4 O12'
_cell_length_a 12.7219
_cell_length_b 6.4003
_cell_length_c 5.7528
_cell_angle_alpha 90.00
_cell_angle_beta 101.51
_cell_angle_gamma 90.00
_space_group_name_H-M_alt 'C 1 2/m 1'
_space_group_IT_number 12
loop_
_space_group_symop_operation_xyz
'x,y,z'
'-x,-y,-z'
'-x,y,-z'
'x,-y,z'
'x+1/2,y+1/2,z'
'-x+1/2,-y+1/2,-z'
'-x+1/2,y+1/2,-z'
'x+1/2,-y+1/2,z'
loop_
_atom_site_label
_atom_site_type_symbol
_atom_site_fract_x
_atom_site_fract_y
_atom_site_fract_z
Np1 Np 0.0000 0.0000 0.0000
Bi1 Bi 0.0000 0.5000 0.5000
Bi2 Bi 0.2500 0.2500 0.0000
Cl1 Cl 0.1947 0.5000 0.3753
O1 O 0.0658 0.2404 0.8011
O2 O 0.1457 0.0000 0.1971
```

This record from Alexandria via LeMat-Bulk describes a geometry-optimized NpBiClO6 structure. The functional is GGA-PBE.

Values from the calculation:
Its raw formation energy is -1.3003 eV/atom.

Cell and atoms, written as CIF:
```
data_NpBiClO6
_chemical_formula_sum 'Np4 Bi4 Cl4 O24'
_cell_length_a 7.6810
_cell_length_b 8.0524
_cell_length_c 11.2422
_cell_angle_alpha 90.00
_cell_angle_beta 90.00
_cell_angle_gamma 90.00
_space_group_name_H-M_alt 'I m m a'
_space_group_IT_number 74
_space_group_name_Hall '-I 2b 2'
loop_
_atom_site_label
_atom_site_type_symbol
_atom_site_fract_x
_atom_site_fract_y
_atom_site_fract_z
Np1 Np 0.0000 0.0000 0.0000
Bi1 Bi 0.2500 0.2500 0.2500
Cl1 Cl 0.0000 0.2500 0.6236
O1 O 0.0000 0.2500 0.3299
O2 O 0.0000 0.2500 0.9541
O3 O 0.1782 0.0593 0.1195
```

This record from Alexandria via LeMat-Bulk describes a geometry-optimized Bi2ClO3 structure. The functional is GGA-PBE.

Values from the calculation:
For the energy above the most stable polymorph in this dataset, the calculation gives 0 meV/atom. Its raw formation energy is -1.0282 eV/atom.

Cell and atoms, written as CIF:
```
data_Bi2ClO3
_chemical_formula_sum 'Bi8 Cl4 O12'
_cell_length_a 13.6472
_cell_length_b 3.8231
_cell_length_c 8.9165
_cell_angle_alpha 90.00
_cell_angle_beta 107.17
_cell_angle_gamma 90.00
_space_group_name_H-M_alt 'C 1 2/m 1'
_space_group_IT_number 12
loop_
_space_group_symop_operation_xyz
'x,y,z'
'-x,-y,-z'
'-x,y,-z'
'x,-y,z'
'x+1/2,y+1/2,z'
'-x+1/2,-y+1/2,-z'
'-x+1/2,y+1/2,-z'
'x+1/2,-y+1/2,z'
loop_
_atom_site_label
_atom_site_type_symbol
_atom_site_fract_x
_atom_site_fract_y
_atom_site_fract_z
Bi1 Bi 0.0065 0.0000 0.2101
Bi2 Bi 0.1536 0.5000 0.5691
Cl1 Cl 0.1271 0.5000 0.0221
O1 O 0.0205 0.5000 0.3556
O2 O 0.1284 0.0000 0.6888
O3 O 0.1758 0.0000 0.4139
```

This record from Alexandria via LeMat-Bulk describes a geometry-optimized Bi2ClO2 structure. The functional is GGA-PBE.

Values from the calculation:
For the energy above the most stable polymorph in this dataset, the calculation gives 0 meV/atom. Its raw formation energy is -1.0248 eV/atom.

Cell and atoms, written as CIF:
```
data_Bi2ClO2
_chemical_formula_sum 'Bi4 Cl2 O4'
_cell_length_a 5.9361
_cell_length_b 5.9355
_cell_length_c 6.3587
_cell_angle_alpha 90.00
_cell_angle_beta 117.54
_cell_angle_gamma 90.00
_space_group_name_H-M_alt 'C 1 2/m 1'
_space_group_IT_number 12
loop_
_space_group_symop_operation_xyz
'x,y,z'
'-x,-y,-z'
'-x,y,-z'
'x,-y,z'
'x+1/2,y+1/2,z'
'-x+1/2,-y+1/2,-z'
'-x+1/2,y+1/2,-z'
'x+1/2,-y+1/2,z'
loop_
_atom_site_label
_atom_site_type_symbol
_atom_site_fract_x
_atom_site_fract_y
_atom_site_fract_z
Bi1 Bi 0.1553 0.0000 0.3092
Cl1 Cl 0.0000 0.5000 0.0000
O1 O 0.0000 0.2495 0.5000
```

This record from Alexandria via LeMat-Bulk describes a geometry-optimized Bi4ClO6 structure. The functional is GGA-PBE.

Values from the calculation:
Its raw formation energy is -0.8657 eV/atom.

Cell and atoms, written as CIF:
```
data_Bi4ClO6
_chemical_formula_sum 'Bi4 Cl1 O6'
_cell_length_a 7.4204
_cell_length_b 7.4204
_cell_length_c 3.4591
_cell_angle_alpha 90.00
_cell_angle_beta 90.00
_cell_angle_gamma 120.00
_space_group_name_H-M_alt 'P -6 m 2'
_space_group_IT_number 187
_space_group_name_Hall 'P -6 2'
loop_
_atom_site_label
_atom_site_type_symbol
_atom_site_fract_x
_atom_site_fract_y
_atom_site_fract_z
Bi1 Bi 0.0000 0.0000 0.0000
Bi2 Bi 0.0339 0.5170 0.5000
Cl1 Cl 0.6667 0.3333 0.0000
O1 O 0.2080 0.4160 0.0000
O2 O 0.2681 0.1341 0.5000
```

Question: raw formation energy of number 7 (NiBi2WCl)?
Answer: 0.9346 eV/atom